No. 1
LiCu3O3 | PBE | relaxed

Cell and atoms, written as POSCAR:
```
LiCu3O3
1.0
-1.984 1.984 18.427
1.984 -1.984 18.427
1.984 1.984 -18.427
Li Cu O
4 12 12
direct
0.060 0.060 0.000 Li
0.312 0.312 0.000 Li
0.688 0.688 0.000 Li
0.940 0.940 0.000 Li
0.000 0.500 0.500 Cu
0.124 0.624 0.500 Cu
0.176 0.176 0.000 Cu
0.250 0.750 0.500 Cu
0.376 0.876 0.500 Cu
0.428 0.428 0.000 Cu
0.500 0.000 0.500 Cu
0.572 0.572 0.000 Cu
0.624 0.124 0.500 Cu
0.750 0.250 0.500 Cu
0.824 0.824 0.000 Cu
0.876 0.376 0.500 Cu
0.000 0.000 0.000 O
0.074 0.574 0.500 O
0.175 0.675 0.500 O
0.254 0.254 0.000 O
0.325 0.825 0.500 O
0.426 0.926 0.500 O
0.500 0.500 0.000 O
0.574 0.074 0.500 O
0.675 0.175 0.500 O
0.746 0.746 0.000 O
0.825 0.325 0.500 O
0.926 0.426 0.500 O
```

Computed properties:
V = 10.36 Å³/atom
energy relative to the elements, uncorrected = -807 meV per atom
VASP energy = -4.96 eV/atom
space-group type = No. 139
magnetization = 0.297 μB/f.u.

No. 2
DyErIrPd | PBE | relaxed

Cell and atoms, written as POSCAR:
```
DyErIrPd
1.0
0.000 3.447 3.447
3.447 0.000 3.447
3.447 3.447 0.000
Dy Er Ir Pd
1 1 1 1
direct
0.000 0.000 0.000 Dy
0.500 0.500 0.500 Er
0.250 0.250 0.250 Ir
0.750 0.750 0.750 Pd
```

Computed properties:
V = 20.48 Å³/atom
VASP energy = -6.73 eV/atom
calculated formation energy = -929 meV/atom
space-group type = No. 216
magnetization = 0.000 μB/f.u.

No. 3
Sm2PtI | PBE | relaxed

Cell and atoms, written as POSCAR:
```
Sm2PtI
1.0
2.115 1.221 8.019
-2.115 1.221 8.019
0.000 -2.442 8.019
Sm Pt I
2 1 1
direct
0.229 0.229 0.229 Sm
0.771 0.771 0.771 Sm
0.500 0.500 0.500 Pt
0.000 0.000 0.000 I
```

Computed properties:
V = 31.05 Å³/atom
energy relative to the elements, uncorrected = -1126 meV per atom
VASP energy = -5.38 eV/atom
space-group type = No. 166
magnetization = 0.000 μB/f.u.

No. 4
Al2SiNi | PBE | relaxed

Cell and atoms, written as POSCAR:
```
Al2SiNi
1.0
7.823 0.000 0.000
0.000 6.145 0.000
0.000 0.000 4.852
Al Si Ni
8 4 4
direct
0.027 0.113 0.000 Al
0.162 0.578 0.771 Al
0.338 0.078 0.271 Al
0.473 0.613 0.500 Al
0.527 0.387 0.000 Al
0.662 0.922 0.771 Al
0.838 0.422 0.271 Al
0.973 0.887 0.500 Al
0.164 0.605 0.269 Si
0.336 0.105 0.769 Si
0.664 0.895 0.269 Si
0.836 0.395 0.769 Si
0.093 0.254 0.502 Ni
0.407 0.754 0.002 Ni
0.593 0.246 0.502 Ni
0.907 0.746 0.002 Ni
```

Computed properties:
V = 14.58 Å³/atom
energy relative to the elements, uncorrected = -261 meV per atom
VASP energy = -4.93 eV/atom
space-group type = No. 33
magnetization = 0.000 μB/f.u.

No. 5
Ce2P2RuO | PBE | relaxed

Cell and atoms, written as POSCAR:
```
Ce2P2RuO
1.0
2.943 0.000 0.000
0.000 2.943 0.000
0.000 0.000 14.213
Ce P Ru O
2 2 1 1
direct
0.000 0.000 0.146 Ce
0.000 0.000 0.854 Ce
0.000 0.000 0.343 P
0.000 0.000 0.657 P
0.000 0.000 0.500 Ru
0.000 0.000 0.000 O
```

Computed properties:
V = 20.52 Å³/atom
energy relative to the elements, uncorrected = -173 meV per atom
VASP energy = -6.33 eV/atom
space-group type = No. 123
magnetization = 0.564 μB/f.u.

No. 6
LaTh3C | PBE | relaxed

Cell and atoms, written as POSCAR:
```
LaTh3C
1.0
5.188 0.000 0.000
0.000 5.188 0.000
0.000 0.000 5.188
La Th C
1 3 1
direct
0.000 0.000 0.000 La
0.000 0.500 0.500 Th
0.500 0.000 0.500 Th
0.500 0.500 0.000 Th
0.500 0.500 0.500 C
```

Computed properties:
V = 27.93 Å³/atom
VASP energy = -7.37 eV/atom
calculated formation energy = -84 meV/atom
space-group type = No. 221
magnetization = 0.000 μB/f.u.

No. 7
CdPSe2 | PBE | relaxed

Cell and atoms, written as POSCAR:
```
CdPSe2
1.0
2.821 -3.967 0.000
2.821 3.967 0.000
0.000 0.000 3.861
Cd P Se
1 1 2
direct
0.000 0.000 0.000 Cd
0.500 0.500 0.000 P
0.272 0.728 0.500 Se
0.728 0.272 0.500 Se
```

Computed properties:
V = 21.61 Å³/atom
energy relative to the elements, uncorrected = 27 meV per atom
VASP energy = -3.30 eV/atom
space-group type = No. 65
magnetization = 0.000 μB/f.u.